# 1
Compound: Ti2Ir
Source: Alexandria via LeMat-Bulk
Functional: PBE-GGA
Structure: relaxed

* ρ: 10.40 g cm⁻³
* calculated volume: 92.0 Å³ per cell
* total magnetization: 0.000 μB per atom
* final energy: -8.844 eV/atom
* DFT formation energy: -0.627 eV/atom

Structure (extended XYZ):
```
6
Lattice="-1.6666 -3.9826 0.2733 1.8969 -2.9752 2.5027 -2.9791 -5.3113 7.1617" Properties=species:S:1:pos:R:3 pbc="T T T"
Ti -1.9625 -7.1120 4.2553
Ti -1.0786 -3.0052 0.9868
Ti -0.7863 -5.1571 5.6824
Ti -1.6702 -9.2639 8.9509
Ir -1.2282 -7.2105 7.3167
Ir -1.5206 -5.0586 2.6210
```

***

# 2
Compound: Ti5Ir
Source: Alexandria via LeMat-Bulk
Functional: PBE-GGA
Structure: relaxed

* ρ: 7.27 g cm⁻³
* calculated volume: 98.5 Å³ per cell
* E above lowest polymorph: 8 meV/atom
* total magnetization: 0.000 μB per atom
* final energy: -8.362 eV/atom
* DFT formation energy: -0.306 eV/atom

Structure (extended XYZ):
```
6
Lattice="3.0547 0.0000 0.0000 0.0000 3.0547 0.0000 0.0000 0.0000 10.5611" Properties=species:S:1:pos:R:3 pbc="T T T"
Ti 0.0000 0.0000 6.8804
Ti 1.5273 1.5273 8.6685
Ti 0.0000 0.0000 0.0000
Ti 1.5273 1.5273 1.8926
Ti 0.0000 0.0000 3.6807
Ir 1.5273 1.5273 5.2805
```

***

# 3
Compound: Ti3Ir
Source: Alexandria via LeMat-Bulk
Functional: PBE-GGA
Structure: relaxed

* ρ: 8.94 g cm⁻³
* calculated volume: 62.4 Å³ per cell
* total magnetization: 0.002 μB per atom
* final energy: -8.646 eV/atom
* DFT formation energy: -0.510 eV/atom

Structure (extended XYZ):
```
4
Lattice="-0.0675 -1.5403 -2.6329 -2.1568 -3.4053 2.0475 -3.9720 1.9063 -1.0135" Properties=species:S:1:pos:R:3 pbc="T T T"
Ir -2.7338 -0.9082 0.6014
Ti -3.6408 1.7474 -0.9290
Ti -1.6883 0.0240 -1.7386
Ti -4.7533 -0.7253 -1.2218
```